# 1
Compound: AlCrTe2
Source: Alexandria
Functional: PBE
Structure: relaxed

CIF file:
```
data_AlCrTe2
_cell_length_a 3.989
_cell_length_b 6.514
_cell_length_c 7.917
_cell_angle_alpha 90.00
_cell_angle_beta 90.00
_cell_angle_gamma 90.00
_symmetry_space_group_name_H-M 'C m m m'
_symmetry_Int_Tables_number 65
_symmetry_space_group_name_Hall '-C 2 2'
loop_
_atom_site_label
_atom_site_type_symbol
_atom_site_fract_x
_atom_site_fract_y
_atom_site_fract_z
_atom_site_occupancy
Al1 Al 0.000 0.000 0.000 1
Cr1 Cr 0.000 0.000 0.500 1
Te1 Te 0.000 0.500 0.265 1
```

Output
The total moment is 3.7 μB per formula unit. The uncorrected energy is -37.377 eV/cell. As for the volume: 102.9 Å³/f.u. The formation energy from raw total energies comes out at 0.24 eV/atom.

***

# 2
Compound: Mg3Hg
Source: Alexandria
Functional: PBE
Structure: relaxed

CIF file:
```
data_Mg3Hg
_cell_length_a 3.3628
_cell_length_b 3.3628
_cell_length_c 9.3758
_cell_angle_alpha 90.00
_cell_angle_beta 90.00
_cell_angle_gamma 120.00
_symmetry_space_group_name_H-M 'P -6 m 2'
_symmetry_Int_Tables_number 187
_symmetry_space_group_name_Hall 'P -6 2'
loop_
_atom_site_label
_atom_site_type_symbol
_atom_site_fract_x
_atom_site_fract_y
_atom_site_fract_z
_atom_site_occupancy
Mg1 Mg 0.0000 0.0000 0.0000 1
Mg2 Mg 0.3333 0.6667 0.2649 1
Hg1 Hg 0.0000 0.0000 0.5000 1
```

Output
The total moment is 0.0 μB per formula unit. For the formation energy, the calculation gives -63 meV/atom. The uncorrected energy is -5.336 eV/cell. As for the volume: 91.8 Å³/f.u.

***

# 3
Compound: Dy4BiN
Source: Alexandria
Functional: PBE
Structure: relaxed

CIF file:
```
data_Dy4BiN
_cell_length_a 14.912
_cell_length_b 5.923
_cell_length_c 7.143
_cell_angle_alpha 90.00
_cell_angle_beta 106.58
_cell_angle_gamma 90.00
_symmetry_space_group_name_H-M 'C 1 2/c 1'
_symmetry_Int_Tables_number 15
loop_
_symmetry_equiv_pos_as_xyz
'x,y,z'
'-x,-y,-z'
'-x,y,-z+1/2'
'x,-y,z+1/2'
'x+1/2,y+1/2,z'
'-x+1/2,-y+1/2,-z'
'-x+1/2,y+1/2,-z+1/2'
'x+1/2,-y+1/2,z+1/2'
loop_
_atom_site_label
_atom_site_type_symbol
_atom_site_fract_x
_atom_site_fract_y
_atom_site_fract_z
_atom_site_occupancy
Dy1 Dy 0.105 0.070 0.438 1
Dy2 Dy 0.196 0.447 0.184 1
Bi1 Bi 0.000 0.397 0.750 1
N1 N 0.250 0.250 0.500 1
```

Output
The total moment is 0.0 μB per formula unit. The uncorrected energy is -140.318 eV/cell. As for the volume: 151.2 Å³/f.u. The formation energy from raw total energies comes out at -0.74 eV/atom.

***

# 4
Compound: Li2PrEu
Source: Alexandria
Functional: PBE
Structure: relaxed

CIF file:
```
data_Li2PrEu
_cell_length_a 7.842
_cell_length_b 7.842
_cell_length_c 7.842
_cell_angle_alpha 90.00
_cell_angle_beta 90.00
_cell_angle_gamma 90.00
_symmetry_space_group_name_H-M 'F m -3 m'
_symmetry_Int_Tables_number 225
_symmetry_space_group_name_Hall '-F 4 2 3'
loop_
_atom_site_label
_atom_site_type_symbol
_atom_site_fract_x
_atom_site_fract_y
_atom_site_fract_z
_atom_site_occupancy
Li1 Li 0.250 0.250 0.250 1
Pr1 Pr 0.000 0.000 0.000 1
Eu1 Eu 0.000 0.000 0.500 1
```

Output
The total moment is 7.4 μB per formula unit. For the formation energy, the calculation gives 131 meV/atom. The uncorrected energy is -73.437 eV/cell. As for the volume: 120.6 Å³/f.u.